{"formula": "CaSiOs2", "functional": "PBE", "state": "optimized geometry", "dft_energy_ev_per_fu": -28.7, "m_tot_mub_per_cell": 0.0, "spacegroup": "No. 166", "raw_formation_energy_ev_per_atom": 0.307, "cell": [[8.5608, -0.0170, -0.0100], [8.0385, 2.9444, -0.0100], [8.0385, 1.4176, 2.5806]], "species": ["Ca", "Os", "Os", "Si"], "fractional_positions": [[0.7500, 0.7500, 0.7500], [0.9857, 0.9857, 0.9857], [0.5143, 0.5143, 0.5143], [0.2500, 0.2500, 0.2500]]}